This record from Alexandria via LeMat-Bulk describes a geometry-optimized ReAg2Mo structure. The functional is GGA-PBE.

Results
- ρ: 12.531 Mg/m³
- Polymorph energy (0 for the lowest one): 33.0 meV per atom
- E_form: 0.35 eV/atom
- E_tot: -6.894 eV per atom

abc: 9.898 9.898 9.898
angles: 16.22 16.22 16.22
Element x y z (fractional)
Mo 0.496 0.496 0.496
Ag 0.249 0.249 0.249
Ag 0.002 0.002 0.002
Re 0.753 0.753 0.753